# 1
A plane-wave DFT calculation with PBE-GGA was carried out for a relaxed structure of Sr2ZrSn.

Lattice parameters (Å, degrees): 7.287 7.287 7.287 101.16 101.16 127.79
Positions (direct):
Sr  0.102  0.125  0.477
Sr  0.375  0.898  0.023
Sr  0.648  0.625  0.523
Sr  0.875  0.352  0.977
Zr  0.250  0.750  0.500
Zr  0.500  0.500  0.000
Sn  0.000  0.000  0.000
Sn  0.750  0.250  0.500

Summary:
Energy in eV/atom: -3.619
Space group: I-42d
N(E_F) in states/eV per cell: 5.9
E_form in meV/atom: 359

=====

# 2
A plane-wave DFT calculation with PBE-GGA was carried out for a relaxed structure of SrZr2Sn.

Lattice parameters (Å, degrees): 6.876 6.876 6.876 101.89 101.89 126.02
Positions (direct):
Sr  0.000  0.000  0.000
Sr  0.750  0.250  0.500
Zr  0.167  0.625  0.042
Zr  0.375  0.417  0.542
Zr  0.583  0.125  0.958
Zr  0.875  0.833  0.458
Sn  0.250  0.750  0.500
Sn  0.500  0.500  0.000

Summary:
Energy in eV/atom: -5.304
Space group: I-42d
N(E_F) in states/eV per cell: 13.0
E_form in meV/atom: 391

=====

# 3
A plane-wave DFT calculation with PBE-GGA was carried out for a relaxed structure of SrZr3Sn.

Lattice parameters (Å, degrees): 5.474 5.474 5.474 90.00 90.00 90.00
Positions (direct):
Sr  0.000  0.000  0.000
Zr  0.000  0.500  0.500
Zr  0.500  0.000  0.500
Zr  0.500  0.500  0.000
Sn  0.500  0.500  0.500

Summary:
Energy in eV/atom: -5.612
Space group: Pm-3m
N(E_F) in states/eV per cell: 8.9
E_form in meV/atom: 654

=====

Question: Among the records above, which one has the highest E_form?
Answer: SrZr3Sn

=====

Question: N(E_F) of number 2 (SrZr2Sn)?
Answer: 13.0 states/eV per cell

=====

Question: Look up the N(E_F) of the third one.
Answer: 8.9 states/eV per cell